(1)
CeMnBe | Alexandria | PBE | optimized geometry; energy = -37.4 eV per cell
1.0
4.171 0.000 0.000
1.035 4.736 0.000
0.612 2.167 4.954
Ce Mn Be
2 2 2
direct
0.220 0.328 0.274
0.780 0.672 0.726
0.382 0.721 0.283
0.618 0.279 0.717
0.176 0.066 0.856
0.824 0.934 0.144

---

(2)
Ce2MnBe | Alexandria | PBE | optimized geometry; energy = -21.6 eV per cell
1.0
1.460 0.843 10.273
-1.460 0.843 10.273
0.000 -1.686 10.273
Ce Mn Be
2 1 1
direct
0.095 0.095 0.095
0.905 0.905 0.905
0.500 0.500 0.500
0.000 0.000 0.000

---

(3)
CeMnBe2N4 | Alexandria | PBE | optimized geometry; energy = -121.1 eV per cell
1.0
1.580 -5.968 0.000
1.580 5.968 0.000
0.000 0.000 8.741
Ce Mn Be N
2 2 4 8
direct
0.066 0.934 0.750
0.934 0.066 0.250
0.220 0.780 0.250
0.780 0.220 0.750
0.407 0.593 0.543
0.407 0.593 0.957
0.593 0.407 0.043
0.593 0.407 0.457
0.000 0.000 0.000
0.000 0.000 0.500
0.320 0.680 0.106
0.320 0.680 0.394
0.381 0.619 0.750
0.619 0.381 0.250
0.680 0.320 0.606
0.680 0.320 0.894

---

(4)
Ce2MnBePt6 | Alexandria | PBE | optimized geometry; energy = -68.0 eV per cell
1.0
2.841 1.640 6.754
-2.841 1.640 6.754
0.000 -3.281 6.754
Ce Mn Be Pt
2 1 1 6
direct
0.215 0.215 0.215
0.785 0.785 0.785
0.500 0.500 0.500
0.000 0.000 0.000
0.239 0.239 0.731
0.239 0.731 0.239
0.269 0.761 0.761
0.731 0.239 0.239
0.761 0.269 0.761
0.761 0.761 0.269

---

Question: Look up the energy of the second one.
Answer: -21.6 eV per cell

---

Question: Among the records above, which one has the highest energy?
Answer: Ce2MnBe